The following is a PBE calculation of Sr3CdIrO6 after structural relaxation, from the Alexandria database.

E_form (uncorrected) ... -1.977 eV per atom
Crystal system ... trigonal
Magnetic moment ... 0.10 μB/atom

a = 9.7107 Å, b = 9.7107 Å, c = 11.8784 Å
α = 90.00°, β = 90.00°, γ = 120.00°
Space group R-3c (No. 167, hexagonal axes)
Asymmetric unit:
Sr 0.0000 0.3618 0.2500 [18 per cell]
Cd 0.0000 0.0000 0.2500 [6 per cell]
Ir 0.0000 0.0000 0.0000 [6 per cell]
O 0.0212 0.1777 0.3952 [36 per cell]